The following is a DFT calculation (PBE-GGA) of crystalline Pr4Ge6Rh7 at its relaxed geometry.

Calculated values
Calculated total energy: -6.6196 eV/atom
Space-group type: Im-3m, No. 229

```
Pr4Ge6Rh7
1.0
-4.3048 4.3048 4.3048
4.3048 -4.3048 4.3048
4.3048 4.3048 -4.3048
Pr Ge Rh
4 6 7
Direct
0.0000 0.0000 0.5000
0.0000 0.5000 0.0000
0.5000 0.0000 0.0000
0.5000 0.5000 0.5000
0.0000 0.3298 0.3298
0.0000 0.6702 0.6702
0.3298 0.0000 0.3298
0.3298 0.3298 0.0000
0.6702 0.0000 0.6702
0.6702 0.6702 0.0000
0.0000 0.0000 0.0000
0.2500 0.5000 0.7500
0.2500 0.7500 0.5000
0.5000 0.2500 0.7500
0.5000 0.7500 0.2500
0.7500 0.2500 0.5000
0.7500 0.5000 0.2500
```

The following is a DFT calculation (PBE-GGA) of crystalline Li4Mg3 at its relaxed geometry.

Calculated values
Offset from the most stable computed form: 0.000 eV/atom
Calculated total energy: -1.8251 eV/atom
Space-group type: Immm, No. 71

```
Li4Mg3
1.0
-1.5829 2.0039 11.2475
1.5829 -2.0039 11.2475
1.5829 2.0039 -11.2475
Li Mg
4 3
Direct
0.0724 0.0724 0.0000
0.2159 0.2159 0.0000
0.7841 0.7841 0.0000
0.9276 0.9276 0.0000
0.3557 0.3557 0.0000
0.5000 0.5000 0.0000
0.6443 0.6443 0.0000
```

The following is a DFT calculation (PBE-GGA) of crystalline SrZrTa2 at its relaxed geometry.

Calculated values
Offset from the most stable computed form: 0.102 eV/atom
Calculated total energy: -7.9684 eV/atom
Space-group type: Cmm2, No. 35

```
SrZrTa2
1.0
1.8097 -2.4605 0.0000
1.8097 2.4605 0.0000
0.0000 0.0000 10.5647
Sr Zr Ta
1 1 2
Direct
0.0000 0.0000 0.0000
0.5000 0.5000 0.6908
0.0000 0.0000 0.4733
0.5000 0.5000 0.2746
```

The following is a DFT calculation (PBE-GGA) of crystalline Nd7Mg at its relaxed geometry.

Calculated values
Calculated total energy: -4.3760 eV/atom
Space-group type: Fm-3m, No. 225

```
Nd7Mg
1.0
0.0000 5.1191 5.1191
5.1191 0.0000 5.1191
5.1191 5.1191 0.0000
Nd Mg
7 1
Direct
0.0000 0.0000 0.0000
0.0000 0.0000 0.5000
0.0000 0.5000 0.0000
0.0000 0.5000 0.5000
0.5000 0.0000 0.0000
0.5000 0.0000 0.5000
0.5000 0.5000 0.0000
0.5000 0.5000 0.5000
```